(1)
# meta-GGA SCAN Sr4FeAg, single point on PBEsol structure
# * D(E_F): 39.6 states/eV per cell
# * magnetization: 7.39 μB/cell
# * calculated formation energy: 6.00 eV per formula unit
data_Sr4FeAg
_chemical_formula_sum 'Sr16 Fe4 Ag4'
_cell_length_a 9.5787
_cell_length_b 9.5787
_cell_length_c 9.5787
_cell_angle_alpha 90.00
_cell_angle_beta 90.00
_cell_angle_gamma 90.00
_symmetry_space_group_name_H-M 'F -4 3 m'
_symmetry_Int_Tables_number 216
_symmetry_space_group_name_Hall 'F -4 2 3'
loop_
_atom_site_label
_atom_site_fract_x
_atom_site_fract_y
_atom_site_fract_z
_atom_site_occupancy
Sr1 0.1255 0.1255 0.1255 1
Fe1 0.0000 0.0000 0.5000 1
Ag1 0.2500 0.2500 0.7500 1

---

(2)
# meta-GGA SCAN Sr2FeAg, single point on PBEsol structure
# * D(E_F): 3.3 states/eV per cell
# * magnetization: 2.72 μB/cell
# * calculated formation energy: 1.07 eV per formula unit
data_Sr2FeAg
_chemical_formula_sum 'Sr2 Fe1 Ag1'
_cell_length_a 5.4100
_cell_length_b 5.4100
_cell_length_c 3.6253
_cell_angle_alpha 90.00
_cell_angle_beta 90.00
_cell_angle_gamma 90.00
_symmetry_space_group_name_H-M 'P 4/m m m'
_symmetry_Int_Tables_number 123
_symmetry_space_group_name_Hall '-P 4 2'
loop_
_atom_site_label
_atom_site_fract_x
_atom_site_fract_y
_atom_site_fract_z
_atom_site_occupancy
Sr1 0.0000 0.5000 0.0000 1
Fe1 0.0000 0.0000 0.5000 1
Ag1 0.5000 0.5000 0.5000 1

---

(3)
# meta-GGA SCAN Sr2FeAg, single point on PBEsol structure
# * D(E_F): 6.0 states/eV per cell
# * magnetization: 5.31 μB/cell
# * calculated formation energy: 0.65 eV per formula unit
data_Sr2FeAg
_chemical_formula_sum 'Sr4 Fe2 Ag2'
_cell_length_a 4.4880
_cell_length_b 4.5052
_cell_length_c 11.3751
_cell_angle_alpha 90.00
_cell_angle_beta 90.00
_cell_angle_gamma 90.00
_symmetry_space_group_name_H-M 'A m m 2'
_symmetry_Int_Tables_number 38
_symmetry_space_group_name_Hall 'A 2 -2'
loop_
_atom_site_label
_atom_site_fract_x
_atom_site_fract_y
_atom_site_fract_z
_atom_site_occupancy
Sr1 0.0000 0.0000 0.0000 1
Sr2 0.5000 0.0000 0.2886 1
Fe1 0.5000 0.0000 0.5917 1
Ag1 0.0000 0.0000 0.7006 1